Compound: Sr2Zn4Ag5
Source: Alexandria via LeMat-Bulk
Functional: PBE
Structure: relaxed

extended XYZ file:
```
11
Lattice="5.397 0.000 2.576 2.699 4.945 1.288 -0.842 0.000 8.706" Properties=species:S:1:pos:R:3 pbc="T T T"
Sr 4.440 0.000 4.582
Sr 0.115 0.000 6.701
Zn 2.782 1.492 8.056
Zn 4.473 3.452 4.514
Zn 1.774 1.492 3.226
Zn 5.480 3.452 9.345
Ag 2.699 0.000 1.288
Ag 1.349 2.472 0.644
Ag 4.048 2.472 1.932
Ag 2.278 2.472 5.641
Ag 4.976 2.472 6.929
```

## Properties
**DFT formation energy**: -0.197 eV per atom
**VASP energy**: -2.262 eV per atom
**Total magnetization**: 0.00 μB per formula unit
**Offset from the most stable computed form**: 0 meV per atom